First-principles (GGA-PBE) data for a relaxed HfZn4Pt5 crystal, as listed in Alexandria.

Computed properties:
Formation energy from the elements ... -0.651 eV per atom
Spin magnetization ... 0.00 μB/cell
Uncorrected energy ... -51.77 eV per cell

a = 3.1222 Å, b = 3.1222 Å, c = 15.7634 Å
α = 90.00°, β = 90.00°, γ = 90.00°
Sites, in units of the cell vectors:
Hf (0.0000, 0.0000, 0.0000)
Zn (0.0000, 0.0000, 0.2144)
Zn (0.0000, 0.0000, 0.4049)
Zn (0.0000, 0.0000, 0.5951)
Zn (0.0000, 0.0000, 0.7856)
Pt (0.5000, 0.5000, 0.1140)
Pt (0.5000, 0.5000, 0.3097)
Pt (0.5000, 0.5000, 0.5000)
Pt (0.5000, 0.5000, 0.6903)
Pt (0.5000, 0.5000, 0.8860)